DFT (PBE with a Hubbard U) results for Cs3K2WO6 after structural relaxation.

Calculated values
Total magnetic moment ... 1.1 μB per formula unit
Electronic total energy ... -5.0913 eV/atom

Cell lengths 6.682, 11.602, 6.848 Å; angles 90.00, 108.07, 90.00 degrees
Space group C2/m (No. 12)
Inequivalent atoms, fractional coordinates:
Cs 0.000 0.000 0.000 [2 per cell]
Cs 0.000 0.330 0.000 [4 per cell]
K 0.000 0.167 0.500 [4 per cell]
W 0.000 0.500 0.500 [2 per cell]
O 0.179 0.379 0.672 [8 per cell]
O 0.182 0.500 0.320 [4 per cell]